Record 1
Below is a PBEsol-optimized structure of Ta3Br, with properties calculated at the meta-GGA SCAN level.

```
data_Ta3Br
_chemical_formula_sum 'Ta6 Br2'
_symmetry_space_group_name_H-M 'C m m m'
_symmetry_Int_Tables_number 65
_symmetry_space_group_name_Hall '-C 2 2'
_cell_length_a 3.3050
_cell_length_b 5.0104
_cell_length_c 8.8773
_cell_angle_alpha 90.00
_cell_angle_beta 90.00
_cell_angle_gamma 90.00
loop_
_atom_site_label
_atom_site_type_symbol
_atom_site_fract_x
_atom_site_fract_y
_atom_site_fract_z
Ta1 Ta 0.0000 0.0000 0.0000
Ta2 Ta 0.0000 0.5000 0.2433
Br1 Br 0.0000 0.0000 0.5000
```

D(E_F): 2.81 states/eV/f.u.
formation energy (no corrections): 0.296 eV per atom
relative energy among the computed polymorphs: 0.000 eV/atom
crystal system: orthorhombic
size of the total moment: 0.00 μB per formula unit

---

Record 2
Below is a PBEsol-optimized structure of CdPd3O4, with properties calculated at the meta-GGA SCAN level.

```
data_CdPd3O4
_chemical_formula_sum 'Cd2 Pd6 O8'
_symmetry_space_group_name_H-M 'P m -3 n'
_symmetry_Int_Tables_number 223
_symmetry_space_group_name_Hall '-P 4n 2 3'
_cell_length_a 5.7302
_cell_length_b 5.7302
_cell_length_c 5.7302
_cell_angle_alpha 90.00
_cell_angle_beta 90.00
_cell_angle_gamma 90.00
loop_
_atom_site_label
_atom_site_type_symbol
_atom_site_fract_x
_atom_site_fract_y
_atom_site_fract_z
Cd1 Cd 0.0000 0.0000 0.0000
Pd1 Pd 0.0000 0.2500 0.5000
O1 O 0.2500 0.2500 0.2500
```

D(E_F): 1.34 states/eV/f.u.
formation energy (no corrections): -0.782 eV per atom
crystal system: cubic
size of the total moment: 0.00 μB per formula unit

---

Record 3
Below is a PBEsol-optimized structure of LiTeOs, with properties calculated at the meta-GGA SCAN level.

```
data_LiTeOs
_chemical_formula_sum 'Li4 Te4 Os4'
_symmetry_space_group_name_H-M 'F m m 2'
_symmetry_Int_Tables_number 42
_symmetry_space_group_name_Hall 'F 2 -2'
_cell_length_a 3.1118
_cell_length_b 5.1539
_cell_length_c 13.5243
_cell_angle_alpha 90.00
_cell_angle_beta 90.00
_cell_angle_gamma 90.00
loop_
_atom_site_label
_atom_site_type_symbol
_atom_site_fract_x
_atom_site_fract_y
_atom_site_fract_z
Li1 Li 0.0000 0.0000 0.0000
Te1 Te 0.0000 0.0000 0.6914
Os1 Os 0.0000 0.0000 0.3461
```

D(E_F): 2.19 states/eV/f.u.
formation energy (no corrections): 0.649 eV per atom
relative energy among the computed polymorphs: 0.480 eV/atom
crystal system: orthorhombic
size of the total moment: 0.00 μB per formula unit

---

Record 4
Below is a PBEsol-optimized structure of MgBeTe2, with properties calculated at the meta-GGA SCAN level.

```
data_MgBeTe2
_chemical_formula_sum 'Mg4 Be4 Te8'
_symmetry_space_group_name_H-M 'I -4 2 d'
_symmetry_Int_Tables_number 122
_symmetry_space_group_name_Hall 'I -4 2bw'
_cell_length_a 6.1248
_cell_length_b 6.1248
_cell_length_c 11.6035
_cell_angle_alpha 90.00
_cell_angle_beta 90.00
_cell_angle_gamma 90.00
loop_
_atom_site_label
_atom_site_type_symbol
_atom_site_fract_x
_atom_site_fract_y
_atom_site_fract_z
Mg1 Mg 0.0000 0.0000 0.0000
Be1 Be 0.0000 0.0000 0.5000
Te1 Te 0.2030 0.2500 0.6250
```

D(E_F): 0.00 states/eV/f.u.
formation energy (no corrections): -0.679 eV per atom
relative energy among the computed polymorphs: 0.000 eV/atom
crystal system: tetragonal
size of the total moment: 0.00 μB per formula unit

---

Record 5
Below is a PBEsol-optimized structure of Tl2TcW, with properties calculated at the meta-GGA SCAN level.

```
data_Tl2TcW
_chemical_formula_sum 'Tl4 Tc2 W2'
_symmetry_space_group_name_H-M 'C m m 2'
_symmetry_Int_Tables_number 35
_cell_length_a 3.2155
_cell_length_b 4.9791
_cell_length_c 10.1323
_cell_angle_alpha 90.00
_cell_angle_beta 90.00
_cell_angle_gamma 90.00
loop_
_symmetry_equiv_pos_as_xyz
'x,y,z'
'-x,-y,z'
'-x,y,z'
'x,-y,z'
'x+1/2,y+1/2,z'
'-x+1/2,-y+1/2,z'
'-x+1/2,y+1/2,z'
'x+1/2,-y+1/2,z'
loop_
_atom_site_label
_atom_site_type_symbol
_atom_site_fract_x
_atom_site_fract_y
_atom_site_fract_z
Tl1 Tl 0.0000 0.0000 0.0000
Tl2 Tl 0.0000 0.5000 0.3051
Tc1 Tc 0.0000 0.5000 0.7476
W1 W 0.0000 0.0000 0.5657
```

D(E_F): 2.90 states/eV/f.u.
relative energy among the computed polymorphs: 0.087 eV/atom
crystal system: orthorhombic
size of the total moment: 0.00 μB per formula unit

---

Record 6
Below is a PBEsol-optimized structure of ZrSbPb, with properties calculated at the meta-GGA SCAN level.

```
data_ZrSbPb
_chemical_formula_sum 'Zr4 Sb4 Pb4'
_symmetry_space_group_name_H-M 'F m m 2'
_symmetry_Int_Tables_number 42
_symmetry_space_group_name_Hall 'F 2 -2'
_cell_length_a 4.1012
_cell_length_b 4.9119
_cell_length_c 15.1847
_cell_angle_alpha 90.00
_cell_angle_beta 90.00
_cell_angle_gamma 90.00
loop_
_atom_site_label
_atom_site_type_symbol
_atom_site_fract_x
_atom_site_fract_y
_atom_site_fract_z
Zr1 Zr 0.0000 0.0000 0.0000
Sb1 Sb 0.0000 0.0000 0.6394
Pb1 Pb 0.0000 0.0000 0.3428
```

D(E_F): 1.79 states/eV/f.u.
formation energy (no corrections): -0.220 eV per atom
relative energy among the computed polymorphs: 0.185 eV/atom
crystal system: orthorhombic
size of the total moment: 0.00 μB per formula unit

---

Record 7
Below is a PBEsol-optimized structure of ZrSc2Tl, with properties calculated at the meta-GGA SCAN level.

```
data_ZrSc2Tl
_chemical_formula_sum 'Zr1 Sc2 Tl1'
_symmetry_space_group_name_H-M 'P m m 2'
_symmetry_Int_Tables_number 25
_cell_length_a 3.3525
_cell_length_b 4.2927
_cell_length_c 6.2029
_cell_angle_alpha 90.00
_cell_angle_beta 90.00
_cell_angle_gamma 90.00
loop_
_symmetry_equiv_pos_as_xyz
'x,y,z'
'-x,-y,z'
'-x,y,z'
'x,-y,z'
loop_
_atom_site_label
_atom_site_type_symbol
_atom_site_fract_x
_atom_site_fract_y
_atom_site_fract_z
Zr1 Zr 0.0000 0.0000 0.0000
Sc1 Sc 0.0000 0.0000 0.4916
Sc2 Sc 0.5000 0.5000 0.2336
Tl1 Tl 0.5000 0.5000 0.7391
```

D(E_F): 2.52 states/eV/f.u.
relative energy among the computed polymorphs: 0.062 eV/atom
crystal system: orthorhombic
size of the total moment: 0.00 μB per formula unit

---

Record 8
Below is a PBEsol-optimized structure of Li3SbP2O8, with properties calculated at the meta-GGA SCAN level.

```
data_Li3SbP2O8
_chemical_formula_sum 'Li6 Sb2 P4 O16'
_symmetry_space_group_name_H-M 'C 1 2/m 1'
_symmetry_Int_Tables_number 12
_cell_length_a 8.5199
_cell_length_b 5.6270
_cell_length_c 6.2245
_cell_angle_alpha 90.00
_cell_angle_beta 92.38
_cell_angle_gamma 90.00
loop_
_symmetry_equiv_pos_as_xyz
'x,y,z'
'-x,-y,-z'
'-x,y,-z'
'x,-y,z'
'x+1/2,y+1/2,z'
'-x+1/2,-y+1/2,-z'
'-x+1/2,y+1/2,-z'
'x+1/2,-y+1/2,z'
loop_
_atom_site_label
_atom_site_type_symbol
_atom_site_fract_x
_atom_site_fract_y
_atom_site_fract_z
Li1 Li 0.0000 0.0000 0.0000
Li2 Li 0.1646 0.5000 0.7969
Sb1 Sb 0.0000 0.0000 0.5000
P1 P 0.1466 0.5000 0.2618
O1 O 0.0334 0.2800 0.2390
O2 O 0.2288 0.5000 0.4895
O3 O 0.2343 0.0000 0.9132
```

D(E_F): 0.00 states/eV/f.u.
formation energy (no corrections): -2.303 eV per atom
relative energy among the computed polymorphs: 0.024 eV/atom
crystal system: monoclinic
size of the total moment: 0.00 μB per formula unit

---

Record 9
Below is a PBEsol-optimized structure of CdRu2Se, with properties calculated at the meta-GGA SCAN level.

```
data_CdRu2Se
_chemical_formula_sum 'Cd2 Ru4 Se2'
_symmetry_space_group_name_H-M 'C m m m'
_symmetry_Int_Tables_number 65
_symmetry_space_group_name_Hall '-C 2 2'
_cell_length_a 2.9681
_cell_length_b 5.0067
_cell_length_c 8.5288
_cell_angle_alpha 90.00
_cell_angle_beta 90.00
_cell_angle_gamma 90.00
loop_
_atom_site_label
_atom_site_type_symbol
_atom_site_fract_x
_atom_site_fract_y
_atom_site_fract_z
Cd1 Cd 0.0000 0.0000 0.0000
Ru1 Ru 0.0000 0.5000 0.2758
Se1 Se 0.0000 0.0000 0.5000
```

D(E_F): 3.41 states/eV/f.u.
formation energy (no corrections): 0.584 eV per atom
relative energy among the computed polymorphs: 0.375 eV/atom
crystal system: orthorhombic
size of the total moment: 0.00 μB per formula unit

---

Record 10
Below is a PBEsol-optimized structure of AsIr2Rh, with properties calculated at the meta-GGA SCAN level.

```
data_AsIr2Rh
_chemical_formula_sum 'As2 Ir4 Rh2'
_symmetry_space_group_name_H-M 'C 1 2/m 1'
_symmetry_Int_Tables_number 12
_cell_length_a 5.2494
_cell_length_b 9.3979
_cell_length_c 2.7581
_cell_angle_alpha 90.00
_cell_angle_beta 121.24
_cell_angle_gamma 90.00
loop_
_symmetry_equiv_pos_as_xyz
'x,y,z'
'-x,-y,-z'
'-x,y,-z'
'x,-y,z'
'x+1/2,y+1/2,z'
'-x+1/2,-y+1/2,-z'
'-x+1/2,y+1/2,-z'
'x+1/2,-y+1/2,z'
loop_
_atom_site_label
_atom_site_type_symbol
_atom_site_fract_x
_atom_site_fract_y
_atom_site_fract_z
As1 As 0.0000 0.0000 0.0000
Ir1 Ir 0.2500 0.2500 0.5000
Rh1 Rh 0.0000 0.5000 0.0000
```

D(E_F): 2.69 states/eV/f.u.
crystal system: monoclinic
DFT total energy: -48.890 eV per atom
size of the total moment: 0.00 μB per formula unit

---

no.,calculated volume (Å³ per cell)
1,147.00
2,188.15
3,216.90
4,435.28
5,162.22
6,305.89
7,89.27
8,298.15
9,126.74
10,116.34